1.
The following is a PBE-GGA calculation of crystalline HoTm2Sc3Te2Au at its relaxed geometry, from the Open Quantum Materials Database.

Cell: 3.932 8.009 8.009 Å, 119.92 90.00 90.00°
Fractional positions:
Ho1 0.000 0.000 0.000
Tm1 0.000 0.206 0.602
Tm2 0.000 0.602 0.206
Sc1 0.500 0.353 0.353
Sc2 0.500 0.602 0.850
Sc3 0.500 0.850 0.602
Te1 0.500 0.269 0.935
Te2 0.500 0.935 0.269
Au1 0.000 0.599 0.599

Calculated values
Symmetry: Amm2 (38)
Total moment: 0.040 μB per formula unit
Electronic total energy: -5.455 eV per atom



2.
The following is a PBE-GGA calculation of crystalline Ba2ZnCdSb2F2 at its relaxed geometry, from the Open Quantum Materials Database.

Cell: 4.542 4.542 9.706 Å, 90.00 90.00 90.00°
Fractional positions:
Ba1 0.000 0.500 0.148
Ba2 0.500 0.000 0.852
Zn1 0.000 0.000 0.500
Cd1 0.500 0.500 0.500
Sb1 0.000 0.500 0.679
Sb2 0.500 0.000 0.321
F1 0.000 0.000 0.000
F2 0.500 0.500 0.000

Calculated values
Symmetry: P-4m2 (115)
Electronic total energy: -4.032 eV per atom



3.
The following is a PBE-GGA calculation of crystalline TcPd2W at its relaxed geometry, from the Open Quantum Materials Database.

Cell: 4.423 4.423 4.423 Å, 60.00 60.00 60.00°
Fractional positions:
Tc1 0.000 0.000 0.000
Pd1 0.500 0.500 0.500
Pd2 0.750 0.750 0.750
W1 0.250 0.250 0.250

Calculated values
Formation energy from the elements: 20 kJ per mole of atoms
Symmetry: F-43m (216)
Total moment: 0.570 μB per formula unit



4.
The following is a PBE-GGA calculation of crystalline TbDyNi2Pb at its relaxed geometry, from the Open Quantum Materials Database.

Cell: 3.691 7.413 7.413 Å, 31.15 90.00 90.00°
Fractional positions:
Tb1 0.000 0.000 0.000
Dy1 0.000 0.720 0.720
Ni1 0.500 0.160 0.160
Ni2 0.500 0.562 0.562
Pb1 0.500 0.360 0.360

Calculated values
Symmetry: Amm2 (38)
Total moment: 0.000 μB per formula unit
Electronic total energy: -5.332 eV per atom



5.
The following is a PBE-GGA calculation of crystalline Mg2Sc2CdCu2Ag at its relaxed geometry, from the Open Quantum Materials Database.

Cell: 4.681 4.681 6.627 Å, 90.00 90.00 90.00°
Fractional positions:
Mg1 0.000 0.500 0.245
Mg2 0.500 0.000 0.755
Sc1 0.000 0.500 0.757
Sc2 0.500 0.000 0.243
Cd1 0.000 0.000 0.500
Cu1 0.000 0.000 0.000
Cu2 0.500 0.500 0.500
Ag1 0.500 0.500 0.000

Calculated values
Symmetry: P-4m2 (115)
Total moment: 0.033 μB per formula unit
Electronic total energy: -3.582 eV per atom



6.
The following is a PBE-GGA calculation of crystalline Ac2Al3Zn at its relaxed geometry, from the Open Quantum Materials Database.

Cell: 9.084 9.023 6.478 Å, 69.55 68.53 41.92°
Fractional positions:
Ac1 0.249 0.751 0.249
Ac2 0.250 0.250 0.250
Ac3 0.750 0.750 0.750
Ac4 0.751 0.249 0.751
Al1 0.166 0.667 0.834
Al2 0.332 0.332 0.668
Al3 0.333 0.834 0.667
Al4 0.667 0.166 0.333
Al5 0.668 0.668 0.332
Al6 0.834 0.333 0.166
Zn1 0.167 0.167 0.833
Zn2 0.833 0.833 0.167

Calculated values
Symmetry: Fmmm (69)
Total moment: 0.026 μB per formula unit
Electronic total energy: -3.816 eV per atom



7.
The following is a PBE-GGA calculation of crystalline NdYGe4 at its relaxed geometry, from the Open Quantum Materials Database.

Cell: 5.649 5.649 5.707 Å, 90.00 90.00 91.57°
Fractional positions:
Nd1 0.000 0.000 0.000
Y1 0.500 0.500 0.500
Ge1 0.147 0.147 0.500
Ge2 0.357 0.643 0.000
Ge3 0.643 0.357 0.000
Ge4 0.853 0.853 0.500

Calculated values
Symmetry: Cmmm (65)
Total moment: 0.008 μB per formula unit
Electronic total energy: -4.942 eV per atom



8.
The following is a PBE-GGA calculation of crystalline YErTl at its relaxed geometry, from the Open Quantum Materials Database.

Cell: 5.142 5.142 5.142 Å, 60.00 60.00 60.00°
Fractional positions:
Y1 0.000 0.000 0.000
Er1 0.500 0.500 0.500
Tl1 0.750 0.750 0.750

Calculated values
Symmetry: F-43m (216)
Total moment: 0.050 μB per formula unit
Energy above the lowest structure with this stoichiometry: 0.00 eV per formula unit



Theoretical density across the listed records, respectively: 8.3; 6.1; 13.4; 10.2; 5.6; 6.1; 4.8; 8.0 g/cm³.